KBaZr: optimized geometry, PBE-GGA.

The space group is P1 (No. 1) and the conventional cell measures 3.648, 7.912 and 10.450 Å, with angles of 109.81, 95.64 and 101.35 degrees. The inequivalent atoms are K at (0.000, 0.000, 0.000), K at (0.097, 0.568, 0.132), Ba at (0.707, 0.228, 0.437), Ba at (0.799, 0.800, 0.580), Zr at (0.264, 0.529, 0.761) and Zr at (0.509, 0.246, 0.766).

The calculation puts the magnetization at 0.00 Bohr magnetons per cell. The value obtained for the total energy is -3.3058 eV per atom. The value obtained for the calculated formation energy is 550 meV/atom.